## Tb3Tm4Tl2 (GGA-PBE)

Data for an optimized crystal structure of Tb3Tm4Tl2.

a b c (Å): 13.719 12.587 6.379
angles (deg): 90.00 99.77 90.00
Space group C2/c (No. 15)
Inequivalent atoms, fractional coordinates:
Tb: 0.000 0.028 0.250 (multiplicity 4)
Tb: 0.108 0.437 0.090 (multiplicity 8)
Tm: 0.087 0.278 0.571 (multiplicity 8)
Tm: 0.177 0.165 0.080 (multiplicity 8)
Tl: 0.212 0.084 0.560 (multiplicity 8)

Computed properties:
Total DFT energy (no corrections): -0.302 Ry per atom
Energy of formation: -50 meV/atom

## Tb6TmTl6 (GGA-PBE)

Data for an optimized crystal structure of Tb6TmTl6.

a b c (Å): 6.4490 6.4490 10.5844
angles (deg): 90.00 90.00 120.00
Space group P6/mmm (No. 191)
Inequivalent atoms, fractional coordinates:
Tb: 0.0000 0.0000 0.1663 (multiplicity 2)
Tb: 0.3333 0.6667 0.0000 (multiplicity 2)
Tb: 0.3333 0.6667 0.5000 (multiplicity 2)
Tm: 0.0000 0.0000 0.5000 (multiplicity 1)
Tl: 0.0000 0.5000 0.2532 (multiplicity 6)

Computed properties:
Total DFT energy (no corrections): -0.275 Ry per atom
Energy of formation: -174 meV/atom